[1]
The following is a DFT calculation (GGA-PBE) of a relaxed NpSiIr crystal.

Unit cell a=5.5086 b=5.5086 c=5.5086 alpha=135.35 beta=99.86 gamma=96.73
Fractional positions:
Np 0.0000 0.0000 0.0000
Np 0.6129 0.1129 0.5000
Si 0.0320 0.7162 0.3157
Si 0.4005 0.7162 0.6843
Ir 0.1830 0.3911 0.7919
Ir 0.5992 0.3911 0.2081

## Properties
SG: Imm2, No. 44
Density of states at the Fermi level (states/eV/atom): 2.2912
E (eV per atom): -9.6326

---

[2]
The following is a DFT calculation (GGA-PBE) of a relaxed NpSi6Ir3 crystal.

Unit cell a=8.6067 b=4.1416 c=8.9389 alpha=90.00 beta=90.57 gamma=90.00
Fractional positions:
Np 0.0533 0.2500 0.2958
Np 0.9467 0.7500 0.7042
Si 0.0940 0.7500 0.0321
Si 0.1718 0.2500 0.6193
Si 0.2823 0.7500 0.2478
Si 0.3115 0.7500 0.7889
Si 0.4294 0.2500 0.4348
Si 0.4665 0.2500 0.9038
Si 0.5335 0.7500 0.0962
Si 0.5706 0.7500 0.5652
Si 0.6885 0.2500 0.2111
Si 0.7177 0.2500 0.7522
Si 0.8282 0.7500 0.3807
Si 0.9060 0.2500 0.9679
Ir 0.1861 0.2500 0.9003
Ir 0.2871 0.7500 0.5189
Ir 0.4029 0.2500 0.1642
Ir 0.5971 0.7500 0.8358
Ir 0.7129 0.2500 0.4811
Ir 0.8139 0.7500 0.0997

## Properties
SG: P2_1/m, No. 11
Density of states at the Fermi level (states/eV/atom): 1.1952
E (eV per atom): -7.7224

---

[3]
The following is a DFT calculation (GGA-PBE) of a relaxed Np2Si12Ir7 crystal.

Unit cell a=9.7557 b=9.7557 c=4.0313 alpha=90.00 beta=90.00 gamma=120.00
Fractional positions:
Np 0.3333 0.6667 0.2466
Np 0.6667 0.3333 0.7534
Si 0.0987 0.4404 0.7276
Si 0.1249 0.8592 0.2684
Si 0.1408 0.2657 0.2684
Si 0.2657 0.1249 0.7316
Si 0.3417 0.9013 0.7276
Si 0.4404 0.3417 0.2724
Si 0.5596 0.6583 0.7276
Si 0.6583 0.0987 0.2724
Si 0.7343 0.8751 0.2684
Si 0.8592 0.7343 0.7316
Si 0.8751 0.1408 0.7316
Si 0.9013 0.5596 0.2724
Ir 0.0000 0.0000 0.5000
Ir 0.0728 0.6734 0.7811
Ir 0.3266 0.3994 0.7811
Ir 0.3994 0.0728 0.2189
Ir 0.6006 0.9272 0.7811
Ir 0.6734 0.6006 0.2189
Ir 0.9272 0.3266 0.2189

## Properties
SG: P-3, No. 147
Density of states at the Fermi level (states/eV/atom): 1.0832
E (eV per atom): -7.7564

---

[4]
The following is a DFT calculation (GGA-PBE) of a relaxed NpSi2Ir crystal.

Unit cell a=9.1744 b=9.1744 c=9.1744 alpha=153.22 beta=124.42 gamma=62.74
Fractional positions:
Np 0.2052 0.2052 0.0000
Np 0.2348 0.0000 0.2348
Np 0.7652 0.0000 0.7652
Np 0.7948 0.7948 0.0000
Si 0.0748 0.5748 0.5000
Si 0.1491 0.8008 0.3482
Si 0.4250 0.4250 0.0000
Si 0.4526 0.8008 0.6518
Si 0.5474 0.1992 0.3482
Si 0.5750 0.5750 0.0000
Si 0.8509 0.1992 0.6518
Si 0.9252 0.4252 0.5000
Ir 0.1065 0.3534 0.7531
Ir 0.3997 0.6466 0.7531
Ir 0.6003 0.3534 0.2469
Ir 0.8935 0.6466 0.2469

## Properties
SG: Immm, No. 71
Density of states at the Fermi level (states/eV/atom): 2.2891
E (eV per atom): -8.7276

---

Among the records above, which one has the lowest density of states at the Fermi level?
Np2Si12Ir7

---

Number 3 is which compound?
Np2Si12Ir7

---

Repeat the third record exactly.
The following is a DFT calculation (GGA-PBE) of a relaxed Np2Si12Ir7 crystal.

Unit cell a=9.7557 b=9.7557 c=4.0313 alpha=90.00 beta=90.00 gamma=120.00
Fractional positions:
Np 0.3333 0.6667 0.2466
Np 0.6667 0.3333 0.7534
Si 0.0987 0.4404 0.7276
Si 0.1249 0.8592 0.2684
Si 0.1408 0.2657 0.2684
Si 0.2657 0.1249 0.7316
Si 0.3417 0.9013 0.7276
Si 0.4404 0.3417 0.2724
Si 0.5596 0.6583 0.7276
Si 0.6583 0.0987 0.2724
Si 0.7343 0.8751 0.2684
Si 0.8592 0.7343 0.7316
Si 0.8751 0.1408 0.7316
Si 0.9013 0.5596 0.2724
Ir 0.0000 0.0000 0.5000
Ir 0.0728 0.6734 0.7811
Ir 0.3266 0.3994 0.7811
Ir 0.3994 0.0728 0.2189
Ir 0.6006 0.9272 0.7811
Ir 0.6734 0.6006 0.2189
Ir 0.9272 0.3266 0.2189

## Properties
SG: P-3, No. 147
Density of states at the Fermi level (states/eV/atom): 1.0832
E (eV per atom): -7.7564